Record 1
## TeAsOs2 (PBEsol)

Data for a relaxed TeAsOs2 crystal.

Computed properties:
ΔE_f (raw) = 0.911 eV/atom
Fermi-level density of states = 3.8 states/eV/f.u.
total energy = -7.355 eV/atom

Cell lengths 3.831, 3.831, 8.875 Å; angles 90.00, 90.00, 90.00 degrees
Space group I-4m2 (No. 119)
Inequivalent atoms, fractional coordinates:
Te (0.000, 0.000, 0.000) x2
As (0.000, 0.500, 0.250) x2
Os (0.000, 0.000, 0.500) x2
Os (0.000, 0.500, 0.750) x2

***

Record 2
## Te2AsOs (PBEsol)

Data for a relaxed Te2AsOs crystal.

Computed properties:
ΔE_f (raw) = 0.425 eV/atom
Fermi-level density of states = 3.8 states/eV/f.u.
total energy = -5.669 eV/atom

Cell lengths 3.524, 4.083, 12.582 Å; angles 90.00, 90.00, 90.00 degrees
Space group Immm (No. 71)
Inequivalent atoms, fractional coordinates:
Te (0.000, 0.000, 0.165) x4
As (0.000, 0.500, 0.000) x2
Os (0.000, 0.500, 0.500) x2

***

Record 3
## ThAs12Os4 (PBEsol)

Data for a relaxed ThAs12Os4 crystal.

Computed properties:
ΔE_f = -0.40 eV per atom
total energy = -7.357 eV/atom

Cell lengths 8.524, 8.524, 8.524 Å; angles 90.00, 90.00, 90.00 degrees
Space group Im-3 (No. 204)
Inequivalent atoms, fractional coordinates:
Th (0.000, 0.000, 0.000) x2
As (0.000, 0.347, 0.149) x24
Os (0.250, 0.250, 0.250) x8